Entry 1:
A plane-wave DFT calculation with meta-GGA SCAN was carried out for Ba3SnAs at its PBEsol-relaxed geometry.

Computed properties:
- SG = Pm-3m (221)
- total DFT energy (no corrections) (eV per formula unit) = -178.3

Cell and atoms, written as POSCAR:
```
Ba3SnAs
1.0
6.1757 0.0000 0.0000
0.0000 6.1757 0.0000
0.0000 0.0000 6.1757
Ba Sn As
3 1 1
direct
0.0000 0.0000 0.5000
0.0000 0.5000 0.0000
0.5000 0.0000 0.0000
0.5000 0.5000 0.5000
0.0000 0.0000 0.0000
```

=====

Entry 2:
A plane-wave DFT calculation with meta-GGA SCAN was carried out for Ba2SnAs2 at its PBEsol-relaxed geometry.

Computed properties:
- SG = P4/mbm (127)
- total DFT energy (no corrections) (eV per formula unit) = -160.0

Cell and atoms, written as POSCAR:
```
Ba2SnAs2
1.0
7.8617 0.0000 0.0000
0.0000 7.8617 0.0000
0.0000 0.0000 4.8466
Ba Sn As
4 2 4
direct
0.1814 0.3186 0.0000
0.3186 0.8186 0.0000
0.6814 0.1814 0.0000
0.8186 0.6814 0.0000
0.0000 0.0000 0.5000
0.5000 0.5000 0.5000
0.1138 0.6138 0.5000
0.3862 0.1138 0.5000
0.6138 0.8862 0.5000
0.8862 0.3862 0.5000
```

=====

Entry 3:
A plane-wave DFT calculation with meta-GGA SCAN was carried out for BaSrAs at its PBEsol-relaxed geometry.

Computed properties:
- offset from the most stable computed form (meV/atom) = 0.0
- SG = P3m1 (156)

Cell and atoms, written as POSCAR:
```
BaSrAs
1.0
4.5847 0.0000 0.0000
-2.2923 3.9705 0.0000
0.0000 0.0000 7.7475
Ba Sr As
1 1 1
direct
0.0000 0.0000 0.0000
0.6667 0.3333 0.4317
0.3333 0.6667 0.2297
```

=====

Entry 4:
A plane-wave DFT calculation with meta-GGA SCAN was carried out for Ba3SrAs at its PBEsol-relaxed geometry.

Computed properties:
- SG = Pm-3m (221)
- total DFT energy (no corrections) (eV per formula unit) = -163.8

Cell and atoms, written as POSCAR:
```
Ba3SrAs
1.0
6.4439 0.0000 0.0000
0.0000 6.4439 0.0000
0.0000 0.0000 6.4439
Ba Sr As
3 1 1
direct
0.0000 0.0000 0.5000
0.0000 0.5000 0.0000
0.5000 0.0000 0.0000
0.5000 0.5000 0.5000
0.0000 0.0000 0.0000
```

=====

Entry 5:
A plane-wave DFT calculation with meta-GGA SCAN was carried out for BaSrAs at its PBEsol-relaxed geometry.

Computed properties:
- offset from the most stable computed form (meV/atom) = 3.8
- SG = F-43m (216)

Cell and atoms, written as POSCAR:
```
BaSrAs
1.0
0.0000 3.7898 3.7898
3.7898 0.0000 3.7898
3.7898 3.7898 0.0000
Ba Sr As
1 1 1
direct
0.0000 0.0000 0.0000
0.5000 0.5000 0.5000
0.2500 0.2500 0.2500
```

=====

Entry 6:
A plane-wave DFT calculation with meta-GGA SCAN was carried out for BaSrTe2As at its PBEsol-relaxed geometry.

Computed properties:
- SG = P4/mmm (123)
- E_form (uncorrected) (eV/atom) = 0.421

Cell and atoms, written as POSCAR:
```
BaSrTe2As
1.0
6.2154 0.0000 0.0000
0.0000 6.2154 0.0000
0.0000 0.0000 7.0895
Ba Sr Te As
1 1 2 1
direct
0.0000 0.0000 0.0000
0.0000 0.0000 0.5000
0.0000 0.5000 0.0000
0.5000 0.0000 0.0000
0.5000 0.5000 0.5000
```